1.
Computed, not measured: an optimized crystal structure of SrThTeO6 at the PBE level of DFT.

abc: 5.8150 5.8150 10.1686
angles: 90.00 90.00 120.00
Element x y z (fractional)
Sr 0.0000 0.0000 0.0000
Sr 0.0000 0.0000 0.5000
Th 0.3333 0.6667 0.2500
Th 0.6667 0.3333 0.7500
Te 0.6667 0.3333 0.2500
Te 0.3333 0.6667 0.7500
O 0.6563 0.6085 0.1427
O 0.9522 0.3437 0.1427
O 0.3437 0.9522 0.6427
O 0.0478 0.6563 0.8573
O 0.3915 0.3437 0.3573
O 0.9522 0.6085 0.3573
O 0.6085 0.9522 0.8573
O 0.6563 0.0478 0.3573
O 0.0478 0.3915 0.6427
O 0.3915 0.0478 0.1427
O 0.6085 0.6563 0.6427
O 0.3437 0.3915 0.8573

Results
- SG = No. 163
- energy (eV per atom) = -7.050

2.
Computed, not measured: an optimized crystal structure of Pr2DyTm9 at the PBE level of DFT.

abc: 3.4760 11.1775 11.1775
angles: 120.00 90.00 90.00
Element x y z (fractional)
Pr 0.0000 0.3333 0.6667
Pr 0.0000 0.6667 0.3333
Dy 0.0000 0.0000 0.0000
Tm 0.0000 0.0000 0.5000
Tm 0.0000 0.5000 0.5000
Tm 0.0000 0.5000 0.0000
Tm 0.5000 0.3477 0.1738
Tm 0.5000 0.1738 0.8262
Tm 0.5000 0.1738 0.3477
Tm 0.5000 0.8262 0.6523
Tm 0.5000 0.8262 0.1738
Tm 0.5000 0.6523 0.8262

Results
- energy of formation from the pure elements (eV per atom) = 0.08
- distance to the lowest polymorph of the same formula (eV/f.u.) = 0.617
- SG = No. 191
- energy (eV per atom) = -4.452

3.
Computed, not measured: an optimized crystal structure of Tb3PrNdHo at the PBE level of DFT.

abc: 5.6990 10.3783 7.0457
angles: 90.27 90.00 105.94
Element x y z (fractional)
Tb 0.8345 0.6690 0.2661
Tb 0.7800 0.5600 0.7533
Tb 0.4782 0.9565 0.2587
Tb 0.2200 0.4400 0.2467
Tb 0.5218 0.0435 0.7413
Tb 0.1655 0.3310 0.7339
Pr 0.3537 0.7073 0.9723
Pr 0.6463 0.2927 0.0277
Nd 0.0539 0.1078 0.2621
Nd 0.9461 0.8922 0.7379
Ho 0.6495 0.2989 0.4614
Ho 0.3505 0.7011 0.5386

Results
- energy of formation from the pure elements (eV per atom) = 0.18
- SG = No. 12
- energy (eV per atom) = -4.486

4.
Computed, not measured: an optimized crystal structure of Ca2GdAu at the PBE level of DFT.

abc: 3.7905 3.7905 11.2291
angles: 80.28 80.28 60.00
Each line ends with the local moment (μB).
Element x y z (fractional)
Ca 0.1064 0.1064 0.6807  0.01
Ca 0.8936 0.8936 0.3193  0.01
Gd 0.0000 0.0000 0.0000  7.30
Au 0.5000 0.5000 0.5000  0.01

Results
- energy of formation from the pure elements (eV per atom) = -0.11
- distance to the lowest polymorph of the same formula (eV/f.u.) = 0.896
- SG = No. 166
- energy (eV per atom) = -5.454

> The highest energy belongs to which entry?

Pr2DyTm9

> energy of number 4 (Ca2GdAu)?

-5.454 eV per atom

> Look up the energy of the first one.

-7.050 eV per atom